Record 1
4
Lattice="3.308 0.000 0.000 0.000 3.308 0.000 0.000 0.000 6.618" Properties=species:S:1:pos:R:3 comment="YLuCo2, relaxed, DFT PBE" space_group="No. 123" pbc="T T T"
Y 1.654 1.654 3.309
Lu 1.654 1.654 0.000
Co 0.000 0.000 5.029
Co 0.000 0.000 1.589



Record 2
4
Lattice="3.550 0.000 0.000 1.775 3.074 0.000 1.775 1.025 10.250" Properties=species:S:1:pos:R:3 comment="Y2LuCo, relaxed, DFT PBE" polymorph_energy_kj_per_mol_atoms=22.75 space_group="No. 166" pbc="T T T"
Y 1.775 1.025 6.821
Y 5.325 3.074 3.428
Lu 0.000 0.000 0.000
Co 3.550 2.049 5.125



Record 3
4
Lattice="-2.296 4.005 -1.404 -0.970 0.712 -4.672 -4.549 -0.258 -1.586" Properties=species:S:1:pos:R:3 comment="YLuZnCo, relaxed, DFT PBE" space_group="No. 216" pbc="T T T"
Y -5.861 3.344 -5.747
Zn 0.000 0.000 0.000
Lu -1.954 1.115 -1.916
Co -3.908 2.230 -3.831



Record 4
4
Lattice="-1.359 -2.151 -2.113 0.108 -2.351 2.324 -6.470 1.903 2.225" Properties=species:S:1:pos:R:3 comment="Lu2ZnCo, relaxed, DFT PBE" polymorph_energy_kj_per_mol_atoms=0.00 space_group="No. 123" pbc="T T T"
Zn -3.860 -1.299 1.218
Lu -5.014 1.475 1.725
Lu -1.455 0.428 0.501
Co -0.626 -2.251 0.106



Record 5
4
Lattice="-2.737 0.735 -1.339 -1.502 -1.790 2.089 -0.518 4.653 3.615" Properties=species:S:1:pos:R:3 comment="LuZnCo2, relaxed, DFT PBE" space_group="No. 123" pbc="T T T"
Zn -2.120 -0.527 0.375
Lu -2.379 1.799 2.182
Co -0.407 3.657 2.841
Co -0.111 0.996 0.774



Record 6
4
Lattice="3.439 0.000 0.000 0.000 4.087 0.000 0.000 0.000 4.087" Properties=species:S:1:pos:R:3 comment="LuZnCo2, relaxed, DFT PBE" space_group="No. 123" pbc="T T T"
Zn 1.719 0.000 0.000
Lu 1.719 2.043 2.043
Co 0.000 0.000 2.043
Co 0.000 2.043 0.000



| no. | energy of formation from the pure elements (eV per atom) | D(E_F) (states/eV/f.u.) |
| --- | --- | --- |
| 1 | -0.182 | 3.9 |
| 2 | 0.216 | 5.9 |
| 3 | -0.252 | 2.9 |
| 4 | -0.333 | 1.4 |
| 5 | -0.080 | 3.8 |
| 6 | -0.095 | 5.8 |